(1)
Material: Y2HfW
Method: DFT, PBE-GGA
State: optimized geometry

POSCAR file:
```
Y2HfW
1.0
0.000 3.617 3.617
3.617 0.000 3.617
3.617 3.617 0.000
Y Hf W
2 1 1
direct
0.250 0.250 0.250
0.750 0.750 0.750
0.000 0.000 0.000
0.500 0.500 0.500
```

Computed properties:
formation energy = 0.631 eV/atom
space group = No. 225
energy above the lowest structure with this stoichiometry = 0 meV per atom
electronic total energy = -8.33 eV/atom
DOS at the Fermi energy = 1.91 states/eV/atom
volume = 94.7 Å³/cell

---

(2)
Material: TbSn2Sb2Pd7
Method: DFT, PBE-GGA
State: optimized geometry

POSCAR file:
```
TbSn2Sb2Pd7
1.0
2.848 -2.867 0.000
2.848 2.867 0.000
-1.021 0.000 15.402
Tb Sn Sb Pd
1 2 2 7
direct
0.000 0.000 0.000
0.136 0.136 0.414
0.864 0.864 0.586
0.453 0.453 0.750
0.547 0.547 0.250
0.026 0.525 0.139
0.376 0.376 0.579
0.475 0.974 0.861
0.500 0.500 0.000
0.525 0.026 0.139
0.624 0.624 0.421
0.974 0.475 0.861
```

Computed properties:
formation energy (no corrections) = -6.0 eV/f.u.
space group = No. 12
electronic total energy = -5.27 eV/atom
DOS at the Fermi energy = 0.38 states/eV/atom
volume = 251.5 Å³/cell

---

(3)
Material: SrLi2CdH
Method: DFT, PBE-GGA
State: optimized geometry

POSCAR file:
```
SrLi2CdH
1.0
4.685 0.000 0.000
0.000 4.685 0.000
0.000 0.000 4.950
Sr Li Cd H
1 2 1 1
direct
0.000 0.000 0.000
0.000 0.500 0.500
0.500 0.000 0.500
0.500 0.500 0.000
0.000 0.000 0.500
```

Computed properties:
space group = No. 123
electronic total energy = -2.13 eV/atom
DOS at the Fermi energy = 0.29 states/eV/atom
volume = 108.7 Å³/cell

---

> Which of these has the highest DOS at the Fermi energy?

Y2HfW

---

> Which of these has the highest DOS at the Fermi energy?

Y2HfW

---

> Number 1 is which compound?

Y2HfW

---

> Which of these has the lowest electronic total energy?

Y2HfW